Entry from OQMD: a geometry-optimized GdHoZn2Au4 structure (GGA-PBE).

Values from the calculation:
ΔH_f (0 K) = -14.7 kcal/mol of atoms

Cell: 4.8404 4.8404 6.8374 Å, 90.00 90.00 90.00°
With the nearest neighbours (Å) after each atom.
Element x y z (fractional)
Gd 0.0000 0.0000 0.0000  8 Au 2.98
Ho 0.5000 0.5000 0.5000  8 Au 2.95
Zn 0.0000 0.0000 0.5000  8 Au 2.95
Zn 0.5000 0.5000 0.0000  8 Au 2.98
Au 0.0000 0.5000 0.2537  2 Ho 2.95, 4 Zn 2.95-2.98, 2 Gd 2.98
Au 0.0000 0.5000 0.7463  2 Ho 2.95, 4 Zn 2.95-2.98, 2 Gd 2.98
Au 0.5000 0.0000 0.2537  2 Ho 2.95, 4 Zn 2.95-2.98, 2 Gd 2.98
Au 0.5000 0.0000 0.7463  2 Ho 2.95, 4 Zn 2.95-2.98, 2 Gd 2.98

=====

Entry from OQMD: a geometry-optimized Gd2InAu2 structure (GGA-PBE).

Values from the calculation:
Raw total energy = -4.295 eV per atom

Cell: 8.3931 8.3931 3.5958 Å, 90.00 90.00 90.00°
With the nearest neighbours (Å) after each atom.
Element x y z (fractional)
Gd 0.1580 0.3420 0.0000  6 Au 3.05, 2 In 3.16
Gd 0.3420 0.8420 0.0000  6 Au 3.05, 2 In 3.16
Gd 0.6580 0.1580 0.0000  6 Au 3.05, 2 In 3.16
Gd 0.8420 0.6580 0.0000  6 Au 3.05, 2 In 3.16
In 0.0000 0.0000 0.0000  4 Gd 3.16
In 0.5000 0.5000 0.0000  4 Gd 3.16
Au 0.1340 0.6340 0.5000  6 Gd 3.05, 1 Au 3.18
Au 0.3660 0.1340 0.5000  6 Gd 3.05, 1 Au 3.18
Au 0.6340 0.8660 0.5000  6 Gd 3.05, 1 Au 3.18
Au 0.8660 0.3660 0.5000  6 Gd 3.05, 1 Au 3.18

=====

Entry from OQMD: a geometry-optimized GdInAu2 structure (GGA-PBE).

Values from the calculation:
Raw total energy = -4.065 eV per atom

Cell: 4.5753 5.6393 5.6393 Å, 39.34 90.00 90.00°
With the nearest neighbours (Å) after each atom.
Element x y z (fractional)
Gd 0.0000 0.0000 0.0000  7 Au 2.93-3.05
In 0.5000 0.2824 0.2824  7 Au 2.89-3.07
Au 0.0000 0.7245 0.7245  2 Au 2.91, 3 Gd 2.93-3.05, 4 In 3.04
Au 0.5000 0.5549 0.5549  3 In 2.89-3.07, 2 Au 2.91, 4 Gd 3.03

=====

Record-wise V values, in Å³/atom: 20.0, 25.3, 23.1